The following is a DFT calculation (PBE-GGA) of a relaxed V2FeRu crystal.

Properties
space group: P2_1/m
DFT total energy: -9.10 eV/atom
polymorph energy (0 for the lowest one): 86.9 meV per atom
size of the total moment: 0.000 μB/cell

Structure (POSCAR):
```
V2FeRu
1.0
2.6277 0.0001 -0.5240
-0.0001 4.1173 0.0000
0.0434 -0.0002 9.4737
Fe V Ru
2 4 2
direct
0.5038 0.2500 0.0795
0.4962 0.7500 0.9205
0.9440 0.2500 0.3064
0.1769 0.7500 0.1559
0.8231 0.2500 0.8441
0.0560 0.7500 0.6936
0.6718 0.7500 0.4167
0.3282 0.2500 0.5833
```


The following is a DFT calculation (PBE-GGA) of a relaxed V3FeRu2 crystal.

Properties
space group: Cmmm
DFT total energy: -9.27 eV/atom
size of the total moment: 3.451 μB/cell

Structure (POSCAR):
```
V3FeRu2
1.0
4.2161 0.0007 0.0168
2.1092 6.3195 0.0084
-0.0235 0.0000 5.9206
V Ru Fe
6 4 2
direct
0.1718 0.6569 0.2368
0.8282 0.3431 0.7632
0.5000 0.0000 0.7538
0.1717 0.6569 0.7632
0.5000 0.0000 0.2462
0.8283 0.3431 0.2368
0.0000 0.0000 0.5000
0.0000 0.0000 0.0000
0.3337 0.3325 0.5000
0.6663 0.6675 0.5000
0.6617 0.6774 0.0000
0.3383 0.3226 0.0000
```


The following is a DFT calculation (PBE-GGA) of a relaxed VFe2Ru crystal.

Properties
space group: P4/mmm
DFT total energy: -8.89 eV/atom
polymorph energy (0 for the lowest one): 0.0 meV per atom
size of the total moment: 2.600 μB/cell

Structure (POSCAR):
```
VFe2Ru
1.0
-2.9893 -0.9771 2.0191
-1.8154 -0.7392 -3.0454
1.1956 -3.4167 0.1166
V Ru Fe
1 1 2
direct
0.5000 0.5000 0.5000
0.5000 0.0000 0.0000
0.0000 0.0000 0.5000
0.0000 0.5000 0.0000
```


The following is a DFT calculation (PBE-GGA) of a relaxed V3FeRu2 crystal.

Properties
space group: P4/mmm
DFT total energy: -9.27 eV/atom
size of the total moment: 1.207 μB/cell

Structure (POSCAR):
```
V3FeRu2
1.0
-1.6330 -2.2788 -1.0000
1.0547 0.4496 -2.7468
6.7193 -5.5487 1.6717
Ru V Fe
2 3 1
direct
0.5000 0.5000 0.1726
0.5000 0.5000 0.8274
0.0000 0.0000 0.0000
0.0000 0.0000 0.6536
0.0000 0.0000 0.3464
0.5000 0.5000 0.5000
```